Density functional theory data (PBE-GGA) for MgBeW2 after structural relaxation.

Its volume is 15.2 A^3/atom. For the calculated formation energy, the calculation gives 0.37 eV per atom. The density of states at the Fermi level is 1.8 states/eV/f.u. As for the polymorph energy (0 for the lowest one): 30 kJ/mol of formula units. The total energy is -7.436 eV per atom. Its space group is Pm, No. 6.

Lattice parameters (Å, degrees): 4.2945 2.7467 5.2110 81.79 90.00 90.00
Element x y z (fractional)
1 Be 0.0000 0.6128 0.4793
2 Mg 0.5000 0.6377 0.7484
3 W 0.0000 0.0238 0.0099
4 W 0.5000 0.2257 0.2624

Density functional theory data (PBE-GGA) for ZrMo2W after structural relaxation.

Its volume is 17.2 A^3/atom. For the calculated formation energy, the calculation gives 0.05 eV per atom. The density of states at the Fermi level is 4.0 states/eV/f.u. As for the polymorph energy (0 for the lowest one): 31 kJ/mol of formula units. The total energy is -10.741 eV per atom. Its space group is Cmmm, No. 65.

Lattice parameters (Å, degrees): 2.8307 2.8307 9.1748 90.00 90.00 110.57
Element x y z (fractional)
1 Mo 0.0000 0.0000 0.0150
2 Mo 0.0000 0.0000 0.4850
3 W 0.5000 0.5000 0.2500
4 Zr 0.5000 0.5000 0.7500

Density functional theory data (PBE-GGA) for Sm11Tl9Hg4 after structural relaxation.

Its volume is 28.4 A^3/atom. For the calculated formation energy, the calculation gives -0.38 eV per atom. The density of states at the Fermi level is 20.0 states/eV/f.u. The total energy is -3.479 eV per atom. Its space group is Cmmm, No. 65.

Lattice parameters (Å, degrees): 3.8419 13.8721 13.8721 112.74 90.00 90.00
Element x y z (fractional)
1 Sm 0.0000 0.5882 0.9340
2 Sm 0.0000 0.4118 0.0660
3 Sm 0.0000 0.9340 0.5882
4 Sm 0.0000 0.0660 0.4118
5 Sm 0.0000 0.6439 0.3561
6 Sm 0.0000 0.3561 0.6439
7 Sm 0.0000 0.8369 0.1631
8 Sm 0.0000 0.1631 0.8369
9 Sm 0.0000 0.0000 0.0000
10 Sm 0.0000 0.7194 0.7194
11 Sm 0.0000 0.2806 0.2806
12 Tl 0.5000 0.6318 0.1458
13 Tl 0.5000 0.3682 0.8542
14 Tl 0.5000 0.1458 0.6318
15 Tl 0.5000 0.8542 0.3682
16 Tl 0.5000 0.7903 0.9441
17 Tl 0.5000 0.2097 0.0559
18 Tl 0.5000 0.9441 0.7903
19 Tl 0.5000 0.0559 0.2097
20 Tl 0.5000 0.5000 0.5000
21 Hg 0.5000 0.5500 0.7448
22 Hg 0.5000 0.4500 0.2552
23 Hg 0.5000 0.7448 0.5500
24 Hg 0.5000 0.2552 0.4500